(1)
Here is a relaxed CoRh2Br crystal from the Alexandria database. Energies are from GGA-PBE.

Output
Mass density: 9.378 g/cm³
Energy above the most stable polymorph in this dataset: 8.02 kcal/mol of atoms
Space group: F-43m
Electronic total energy: -5.0932 eV/atom
Magnetic moment: 3.21 μB per formula unit

a b c (Å): 4.4192 4.4192 4.4192
angles (deg): 60.00 60.00 60.00
Site moments in Bohr magnetons follow the coordinates.
Positions (direct):
1 Br 0.5000 0.5000 0.5000  0.04
2 Co 0.7500 0.7500 0.7500  1.85
3 Rh 0.2500 0.2500 0.2500  0.68
4 Rh 0.0000 0.0000 0.0000  0.68

---

(2)
Here is a relaxed CoRhBr2 crystal from the Alexandria database. Energies are from GGA-PBE.

Output
Mass density: 5.809 g/cm³
Energy above the most stable polymorph in this dataset: 6.37 kcal/mol of atoms
Space group: P2/m
Electronic total energy: -4.1094 eV/atom
Magnetic moment: 2.54 μB per formula unit

a b c (Å): 3.6274 5.0449 7.1120
angles (deg): 135.05 90.00 90.00
Site moments in Bohr magnetons follow the coordinates.
Positions (direct):
1 Br 0.0000 0.2368 0.4930  0.07
2 Rh 0.5000 0.7500 0.7500  0.47
3 Br 0.0000 0.2632 0.0070  0.07
4 Co 0.5000 0.2500 0.2500  1.90

---

(3)
Here is a relaxed CoRh2Br crystal from the Alexandria database. Energies are from GGA-PBE.

Output
Mass density: 8.648 g/cm³
Energy above the most stable polymorph in this dataset: 0.00 kcal/mol of atoms
Space group: Pmm2
Electronic total energy: -5.4409 eV/atom
Magnetic moment: 1.92 μB per formula unit

a b c (Å): 3.3486 2.9270 6.7521
angles (deg): 90.01 90.00 90.00
Site moments in Bohr magnetons follow the coordinates.
Positions (direct):
1 Rh 0.5000 0.5002 0.1977  -0.18
2 Co 0.5000 0.4999 0.8043  1.76
3 Rh 0.0000 0.0000 0.9862  0.33
4 Br 0.0000 0.5000 0.5118  0.02

---

(4)
Here is a relaxed CoRh2Br crystal from the Alexandria database. Energies are from GGA-PBE.

Output
Mass density: 9.474 g/cm³
Energy above the most stable polymorph in this dataset: 5.05 kcal/mol of atoms
Space group: P4/mmm
Electronic total energy: -5.2218 eV/atom
Magnetic moment: 3.62 μB per formula unit

a b c (Å): 2.9426 4.5308 4.5308
angles (deg): 90.00 90.00 90.00
Site moments in Bohr magnetons follow the coordinates.
Positions (direct):
1 Rh 0.0000 0.0000 0.0000  0.74
2 Rh 0.0000 0.5000 0.5000  0.74
3 Co 0.5000 0.0000 0.5000  2.11
4 Br 0.5000 0.5000 0.0000  0.07

---

(5)
Here is a relaxed CoRhBr2 crystal from the Alexandria database. Energies are from GGA-PBE.

Output
Mass density: 6.615 g/cm³
Energy above the most stable polymorph in this dataset: 12.16 kcal/mol of atoms
Space group: Cmmm
Electronic total energy: -3.8583 eV/atom
Magnetic moment: 0.84 μB per formula unit

a b c (Å): 3.5267 3.5267 7.8674
angles (deg): 90.00 90.00 124.40
Site moments in Bohr magnetons follow the coordinates.
Positions (direct):
1 Br 0.0000 0.0000 0.4838  0.01
2 Co 0.5000 0.5000 0.2500  1.87
3 Br 0.0000 0.0000 0.0162  0.01
4 Rh 0.5000 0.5000 0.7500  -1.03

---

(6)
Here is a relaxed CoRhBr2 crystal from the Alexandria database. Energies are from GGA-PBE.

Output
Mass density: 6.589 g/cm³
Energy above the most stable polymorph in this dataset: 12.31 kcal/mol of atoms
Space group: C2/m
Electronic total energy: -3.8518 eV/atom
Magnetic moment: 2.66 μB per formula unit

a b c (Å): 5.3068 5.3068 3.4795
angles (deg): 67.85 67.85 94.86
Site moments in Bohr magnetons follow the coordinates.
Positions (direct):
1 Co 0.5000 0.0000 0.5000  2.08
2 Rh 0.0000 0.5000 0.5000  0.39
3 Br 0.0000 0.0000 0.0000  0.07
4 Br 0.5000 0.5000 0.0000  0.07

---

(7)
Here is a relaxed CoRhBr2 crystal from the Alexandria database. Energies are from GGA-PBE.

Output
Mass density: 6.613 g/cm³
Energy above the most stable polymorph in this dataset: 12.30 kcal/mol of atoms
Space group: Immm
Electronic total energy: -3.8522 eV/atom
Magnetic moment: 2.44 μB per formula unit

a b c (Å): 5.2530 5.2530 5.2530
angles (deg): 143.22 106.01 85.60
Site moments in Bohr magnetons follow the coordinates.
Positions (direct):
1 Br 0.0096 0.0096 0.0000  0.06
2 Rh 0.7500 0.2500 0.5000  0.33
3 Co 0.2500 0.7500 0.5000  1.95
4 Br 0.4904 0.4904 0.0000  0.06

---

(8)
Here is a relaxed CoRhBr2 crystal from the Alexandria database. Energies are from GGA-PBE.

Output
Mass density: 6.518 g/cm³
Energy above the most stable polymorph in this dataset: 7.55 kcal/mol of atoms
Space group: R-3m
Electronic total energy: -4.0580 eV/atom
Magnetic moment: 1.55 μB per formula unit

a b c (Å): 8.0738 8.0738 8.0738
angles (deg): 24.88 24.88 24.88
Site moments in Bohr magnetons follow the coordinates.
Positions (direct):
1 Br 0.1034 0.1034 0.1034  0.07
2 Co 0.5000 0.5000 0.5000  1.75
3 Br 0.8966 0.8966 0.8966  0.07
4 Rh 0.0000 0.0000 0.0000  -0.38

---

(9)
Here is a relaxed CoRhBr2 crystal from the Alexandria database. Energies are from GGA-PBE.

Output
Mass density: 5.891 g/cm³
Energy above the most stable polymorph in this dataset: 6.76 kcal/mol of atoms
Space group: Imm2
Electronic total energy: -4.0924 eV/atom
Magnetic moment: 2.43 μB per formula unit

a b c (Å): 7.9133 7.9133 7.9133
angles (deg): 155.76 153.49 36.22
Site moments in Bohr magnetons follow the coordinates.
Positions (direct):
1 Rh 0.6933 0.1933 0.5000  0.21
2 Br 0.9979 0.9979 0.0000  0.12
3 Co 0.5624 0.5624 0.0000  2.07
4 Br 0.2464 0.7464 0.5000  -0.02

---

(10)
Here is a relaxed Co2RhBr8 crystal from the Alexandria database. Energies are from GGA-PBE.

Output
Mass density: 3.838 g/cm³
Space group: C2/m
Electronic total energy: -3.4792 eV/atom
Magnetic moment: 7.00 μB per formula unit

a b c (Å): 6.3225 8.1842 8.1842
angles (deg): 61.53 91.42 91.42
Site moments in Bohr magnetons follow the coordinates.
Positions (direct):
1 Br 0.7979 0.1529 0.1529  0.15
2 Br 0.2424 0.8658 0.2808  0.14
3 Rh 0.0000 0.0000 0.0000  0.10
4 Br 0.2424 0.2808 0.8658  0.14
5 Br 0.3523 0.3176 0.3176  0.24
6 Br 0.6477 0.6824 0.6824  0.24
7 Br 0.7576 0.7192 0.1342  0.14
8 Co 0.5740 0.8402 0.8402  2.44
9 Co 0.4260 0.1598 0.1598  2.44
10 Br 0.2021 0.8471 0.8471  0.15
11 Br 0.7576 0.1342 0.7192  0.14

---

(11)
Here is a relaxed CoRhBr crystal from the Alexandria database. Energies are from GGA-PBE.

Output
Mass density: 7.648 g/cm³
Energy above the most stable polymorph in this dataset: 3.58 kcal/mol of atoms
Space group: F-43m
Electronic total energy: -4.6946 eV/atom
Magnetic moment: 3.09 μB per formula unit

a b c (Å): 4.2027 4.2027 4.2027
angles (deg): 60.00 60.00 60.00
Site moments in Bohr magnetons follow the coordinates.
Positions (direct):
1 Rh 0.0000 0.0000 0.0000  1.09
2 Co 0.7500 0.7500 0.7500  1.90
3 Br 0.5000 0.5000 0.5000  0.13

---

(12)
Here is a relaxed CoRhBr2 crystal from the Alexandria database. Energies are from GGA-PBE.

Output
Mass density: 5.941 g/cm³
Energy above the most stable polymorph in this dataset: 0.03 kcal/mol of atoms
Space group: Cm
Electronic total energy: -4.3844 eV/atom
Magnetic moment: 1.43 μB per formula unit

a b c (Å): 3.6974 3.6974 7.9345
angles (deg): 75.43 75.43 60.02
Site moments in Bohr magnetons follow the coordinates.
Positions (direct):
1 Rh 0.1832 0.1832 0.4444  0.30
2 Br 0.7802 0.7802 0.6376  -0.03
3 Br 0.9664 0.9664 0.1220  0.03
4 Co 0.5702 0.5702 0.2960  1.13

---

(13)
Here is a relaxed CoRh2Br crystal from the Alexandria database. Energies are from GGA-PBE.

Output
Mass density: 9.365 g/cm³
Energy above the most stable polymorph in this dataset: 5.35 kcal/mol of atoms
Space group: Pmmm
Electronic total energy: -5.2091 eV/atom
Magnetic moment: 3.31 μB per formula unit

a b c (Å): 2.9150 4.7367 4.4260
angles (deg): 90.00 90.00 90.00
Site moments in Bohr magnetons follow the coordinates.
Positions (direct):
1 Rh 0.5000 0.5000 0.0000  0.77
2 Br 0.5000 0.0000 0.5000  0.11
3 Rh 0.0000 0.0000 0.0000  0.34
4 Co 0.0000 0.5000 0.5000  2.10

---

(14)
Here is a relaxed Co4RhBr crystal from the Alexandria database. Energies are from GGA-PBE.

Output
Mass density: 8.580 g/cm³
Space group: F-43m
Electronic total energy: -5.6532 eV/atom
Magnetic moment: 7.97 μB per formula unit

a b c (Å): 4.8566 4.8566 4.8566
angles (deg): 60.00 60.00 60.00
Site moments in Bohr magnetons follow the coordinates.
Positions (direct):
1 Rh 0.7500 0.7500 0.7500  0.68
2 Co 0.3759 0.3759 0.3759  1.83
3 Br 0.0000 0.0000 0.0000  0.10
4 Co 0.3759 0.3759 0.8722  1.83
5 Co 0.8722 0.3759 0.3759  1.83
6 Co 0.3759 0.8722 0.3759  1.83

---

(15)
Here is a relaxed CoRh2Br crystal from the Alexandria database. Energies are from GGA-PBE.

Output
Mass density: 9.447 g/cm³
Energy above the most stable polymorph in this dataset: 1.94 kcal/mol of atoms
Space group: R3m
Electronic total energy: -5.3569 eV/atom
Magnetic moment: 2.22 μB per formula unit

a b c (Å): 8.3480 8.3480 8.3480
angles (deg): 20.18 20.18 20.18
Site moments in Bohr magnetons follow the coordinates.
Positions (direct):
1 Rh 0.0042 0.0042 0.0042  0.55
2 Rh 0.2511 0.2511 0.2511  -0.07
3 Co 0.7499 0.7499 0.7499  1.74
4 Br 0.4948 0.4948 0.4948  0.04

---

(16)
Here is a relaxed CoRh2Br crystal from the Alexandria database. Energies are from GGA-PBE.

Output
Mass density: 9.359 g/cm³
Energy above the most stable polymorph in this dataset: 2.27 kcal/mol of atoms
Space group: P4mm
Electronic total energy: -5.3426 eV/atom
Magnetic moment: 2.20 μB per formula unit

a b c (Å): 2.9334 2.9333 7.1067
angles (deg): 90.00 90.00 90.00
Site moments in Bohr magnetons follow the coordinates.
Positions (direct):
1 Br 0.0000 0.0000 0.5155  0.07
2 Rh 0.0000 0.0000 0.9869  0.50
3 Rh 0.5000 0.5000 0.2319  -0.17
4 Co 0.5000 0.5000 0.7657  1.82

---

(17)
Here is a relaxed CoRh2Br crystal from the Alexandria database. Energies are from GGA-PBE.

Output
Mass density: 9.380 g/cm³
Energy above the most stable polymorph in this dataset: 1.41 kcal/mol of atoms
Space group: R-3m
Electronic total energy: -5.3796 eV/atom
Magnetic moment: 2.82 μB per formula unit

a b c (Å): 8.4373 8.4373 8.4373
angles (deg): 19.92 19.92 19.92
Site moments in Bohr magnetons follow the coordinates.
Positions (direct):
1 Co 0.7500 0.7500 0.7500  2.04
2 Rh 0.0051 0.0051 0.0051  0.43
3 Rh 0.4949 0.4949 0.4949  0.43
4 Br 0.2500 0.2500 0.2500  -0.05

---

(18)
Here is a relaxed CoRhBr2 crystal from the Alexandria database. Energies are from GGA-PBE.

Output
Mass density: 5.766 g/cm³
Energy above the most stable polymorph in this dataset: 1.81 kcal/mol of atoms
Space group: Pm
Electronic total energy: -4.3070 eV/atom
Magnetic moment: 2.77 μB per formula unit

a b c (Å): 3.5693 3.6005 7.2078
angles (deg): 90.44 90.00 90.00
Site moments in Bohr magnetons follow the coordinates.
Positions (direct):
1 Rh 0.5000 0.7525 0.6751  0.54
2 Br 0.0000 0.9969 0.8923  0.05
3 Co 0.0000 0.2755 0.5776  1.98
4 Br 0.5000 0.4751 0.3550  0.12

---

(19)
Here is a relaxed CoRhSe2Br crystal from the Alexandria database. Energies are from GGA-PBE.

Output
Mass density: 6.442 g/cm³
Energy above the most stable polymorph in this dataset: 0.00 kcal/mol of atoms
Space group: P4/mmm
Electronic total energy: -3.9227 eV/atom
Magnetic moment: 2.13 μB per formula unit

a b c (Å): 4.5736 4.5736 4.9253
angles (deg): 90.00 90.00 90.00
Site moments in Bohr magnetons follow the coordinates.
Positions (direct):
1 Co 0.0000 0.0000 0.0000  0.37
2 Se 0.5000 0.0000 0.0000  0.14
3 Rh 0.5000 0.5000 0.5000  1.15
4 Br 0.0000 0.0000 0.5000  0.12
5 Se 0.0000 0.5000 0.0000  0.14

---

(20)
Here is a relaxed Co2RhSeBr crystal from the Alexandria database. Energies are from GGA-PBE.

Output
Mass density: 6.505 g/cm³
Space group: P4/mmm
Electronic total energy: -4.6243 eV/atom
Magnetic moment: 4.36 μB per formula unit

a b c (Å): 4.4851 4.8174 4.4851
angles (deg): 90.00 90.00 90.00
Site moments in Bohr magnetons follow the coordinates.
Positions (direct):
1 Br 0.5000 0.5000 0.5000  0.15
2 Co 0.0000 0.0000 0.5000  1.58
3 Co 0.5000 0.0000 0.0000  1.95
4 Se 0.0000 0.0000 0.0000  0.05
5 Rh 0.0000 0.5000 0.0000  0.58